Entry from Alexandria via LeMat-Bulk: a relaxed PrAl3CuAu crystal (PBE-GGA).

Output
ΔE_f	-310.6	meV/atom
size of the total moment	0.00	μB per formula unit
volume	470.3	Å³ per cell

Structure (CIF):
```
data_PrAl3CuAu
_cell_length_a 6.264
_cell_length_b 12.368
_cell_length_c 6.070
_cell_angle_alpha 90.00
_cell_angle_beta 90.00
_cell_angle_gamma 90.00
_space_group_name_H-M_alt 'C m c m'
_space_group_IT_number 63
_space_group_name_Hall '-C 2c 2'
loop_
_atom_site_label
_atom_site_type_symbol
_atom_site_fract_x
_atom_site_fract_y
_atom_site_fract_z
Pr1 Pr 0.000 0.216 0.250
Al1 Al 0.000 0.359 0.750
Al2 Al 0.213 0.000 0.000
Cu1 Cu 0.000 0.439 0.250
Au1 Au 0.000 0.148 0.750
```


Entry from Alexandria via LeMat-Bulk: a relaxed Pr2Al4CuAu3 crystal (PBE-GGA).

Output
ΔE_f	-669.6	meV/atom
size of the total moment	0.00	μB per formula unit
volume	202.8	Å³ per cell

Structure (CIF):
```
data_Pr2Al4CuAu3
_cell_length_a 4.396
_cell_length_b 4.396
_cell_length_c 10.499
_cell_angle_alpha 90.00
_cell_angle_beta 90.00
_cell_angle_gamma 90.00
_space_group_name_H-M_alt 'P -4 m 2'
_space_group_IT_number 115
_space_group_name_Hall 'P -4 -2'
loop_
_atom_site_label
_atom_site_type_symbol
_atom_site_fract_x
_atom_site_fract_y
_atom_site_fract_z
Pr1 Pr 0.000 0.500 0.244
Al1 Al 0.000 0.000 0.500
Al2 Al 0.000 0.500 0.874
Al3 Al 0.500 0.500 0.500
Cu1 Cu 0.500 0.500 0.000
Au1 Au 0.000 0.000 0.000
Au2 Au 0.000 0.500 0.633
```


Entry from Alexandria via LeMat-Bulk: a relaxed PuAlCuAu crystal (PBE-GGA).

Output
ΔE_f	-190.2	meV/atom
size of the total moment	5.17	μB per formula unit
volume	308.0	Å³ per cell

Structure (CIF):
```
data_PuAlCuAu
_cell_length_a 6.753
_cell_length_b 6.753
_cell_length_c 6.753
_cell_angle_alpha 90.00
_cell_angle_beta 90.00
_cell_angle_gamma 90.00
_space_group_name_H-M_alt 'F -4 3 m'
_space_group_IT_number 216
_space_group_name_Hall 'F -4 2 3'
loop_
_atom_site_label
_atom_site_type_symbol
_atom_site_fract_x
_atom_site_fract_y
_atom_site_fract_z
Pu1 Pu 0.000 0.000 0.000
Al1 Al 0.000 0.000 0.500
Cu1 Cu 0.250 0.250 0.250
Au1 Au 0.250 0.250 0.750
```


Entry from Alexandria via LeMat-Bulk: a relaxed Pu2Al3CuAu12 crystal (PBE-GGA).

Output
ΔE_f	-147.0	meV/atom
size of the total moment	11.80	μB per formula unit
volume	1106.3	Å³ per cell

Structure (CIF):
```
data_Pu2Al3CuAu12
_cell_length_a 5.6935
_cell_length_b 5.6935
_cell_length_c 39.4069
_cell_angle_alpha 90.00
_cell_angle_beta 90.00
_cell_angle_gamma 120.00
_space_group_name_H-M_alt 'R -3 m'
_space_group_IT_number 166
_space_group_name_Hall '-R 3 2"'
loop_
_atom_site_label
_atom_site_type_symbol
_atom_site_fract_x
_atom_site_fract_y
_atom_site_fract_z
Pu1 Pu 0.0000 0.0000 0.1488
Al1 Al 0.0000 0.5000 0.0000
Cu1 Cu 0.0000 0.0000 0.5000
Au1 Au 0.0007 0.5004 0.8862
Au2 Au 0.0079 0.5040 0.6147
```


Entry from Alexandria via LeMat-Bulk: a relaxed Pu2Al4Cu3Au crystal (PBE-GGA).

Output
ΔE_f	-275.0	meV/atom
size of the total moment	11.28	μB per formula unit
volume	183.0	Å³ per cell

Structure (CIF):
```
data_Pu2Al4Cu3Au
_cell_length_a 4.198
_cell_length_b 4.198
_cell_length_c 10.389
_cell_angle_alpha 90.00
_cell_angle_beta 90.00
_cell_angle_gamma 90.00
_space_group_name_H-M_alt 'P -4 m 2'
_space_group_IT_number 115
_space_group_name_Hall 'P -4 -2'
loop_
_atom_site_label
_atom_site_type_symbol
_atom_site_fract_x
_atom_site_fract_y
_atom_site_fract_z
Pu1 Pu 0.000 0.500 0.246
Al1 Al 0.000 0.000 0.000
Al2 Al 0.000 0.500 0.640
Al3 Al 0.500 0.500 0.000
Cu1 Cu 0.000 0.500 0.871
Cu2 Cu 0.500 0.500 0.500
Au1 Au 0.000 0.000 0.500
```


Entry from Alexandria via LeMat-Bulk: a relaxed PuAl2CuAu4 crystal (PBE-GGA).

Output
ΔE_f	-341.8	meV/atom
size of the total moment	5.50	μB per formula unit
volume	450.6	Å³ per cell

Structure (CIF):
```
data_PuAl2CuAu4
_cell_length_a 4.4256
_cell_length_b 4.4256
_cell_length_c 26.5686
_cell_angle_alpha 90.00
_cell_angle_beta 90.00
_cell_angle_gamma 120.00
_space_group_name_H-M_alt 'R -3 m'
_space_group_IT_number 166
_space_group_name_Hall '-R 3 2"'
loop_
_atom_site_label
_atom_site_type_symbol
_atom_site_fract_x
_atom_site_fract_y
_atom_site_fract_z
Pu1 Pu 0.0000 0.0000 0.0000
Al1 Al 0.0000 0.0000 0.2382
Cu1 Cu 0.0000 0.0000 0.5000
Au1 Au 0.0000 0.0000 0.1321
Au2 Au 0.0000 0.0000 0.3983
```


Entry from Alexandria via LeMat-Bulk: a relaxed PuAl4Cu2Au crystal (PBE-GGA).

Output
ΔE_f	-216.6	meV/atom
size of the total moment	5.42	μB per formula unit
volume	421.8	Å³ per cell

Structure (CIF):
```
data_PuAl4Cu2Au
_cell_length_a 4.2352
_cell_length_b 4.2352
_cell_length_c 27.1556
_cell_angle_alpha 90.00
_cell_angle_beta 90.00
_cell_angle_gamma 120.00
_space_group_name_H-M_alt 'R -3 m'
_space_group_IT_number 166
_space_group_name_Hall '-R 3 2"'
loop_
_atom_site_label
_atom_site_type_symbol
_atom_site_fract_x
_atom_site_fract_y
_atom_site_fract_z
Pu1 Pu 0.0000 0.0000 0.0000
Al1 Al 0.0000 0.0000 0.1215
Al2 Al 0.0000 0.0000 0.4016
Cu1 Cu 0.0000 0.0000 0.2526
Au1 Au 0.0000 0.0000 0.5000
```


Entry from Alexandria via LeMat-Bulk: a relaxed PuAlCuAu crystal (PBE-GGA).

Output
ΔE_f	-190.0	meV/atom
size of the total moment	5.92	μB per formula unit
volume	245.8	Å³ per cell

Structure (CIF):
```
data_PuAlCuAu
_cell_length_a 4.3021
_cell_length_b 4.3021
_cell_length_c 15.3323
_cell_angle_alpha 90.00
_cell_angle_beta 90.00
_cell_angle_gamma 120.00
_space_group_name_H-M_alt 'R 3 m'
_space_group_IT_number 160
_space_group_name_Hall 'R 3 -2"'
loop_
_atom_site_label
_atom_site_type_symbol
_atom_site_fract_x
_atom_site_fract_y
_atom_site_fract_z
Pu1 Pu 0.0000 0.0000 0.0000
Al1 Al 0.0000 0.0000 0.2040
Cu1 Cu 0.0000 0.0000 0.5347
Au1 Au 0.0000 0.0000 0.7928
```


Entry from Alexandria via LeMat-Bulk: a relaxed PuAlCuAu6 crystal (PBE-GGA).

Output
ΔE_f	-47.5	meV/atom
size of the total moment	5.78	μB per formula unit
volume	738.3	Å³ per cell

Structure (CIF):
```
data_PuAlCuAu6
_cell_length_a 5.467
_cell_length_b 9.499
_cell_length_c 14.216
_cell_angle_alpha 90.00
_cell_angle_beta 90.00
_cell_angle_gamma 90.00
_space_group_name_H-M_alt 'I m m a'
_space_group_IT_number 74
_space_group_name_Hall '-I 2b 2'
loop_
_atom_site_label
_atom_site_type_symbol
_atom_site_fract_x
_atom_site_fract_y
_atom_site_fract_z
Pu1 Pu 0.000 0.250 0.190
Al1 Al 0.000 0.000 0.500
Cu1 Cu 0.250 0.250 0.750
Au1 Au 0.000 0.250 0.424
Au2 Au 0.000 0.250 0.965
Au3 Au 0.249 0.029 0.853
```


Entry from Alexandria via LeMat-Bulk: a relaxed Pu2AlCuAu6 crystal (PBE-GGA).

Output
ΔE_f	-280.0	meV/atom
size of the total moment	11.50	μB per formula unit
volume	1296.5	Å³ per cell

Structure (CIF):
```
data_Pu2AlCuAu6
_cell_length_a 6.6966
_cell_length_b 6.6966
_cell_length_c 33.3826
_cell_angle_alpha 90.00
_cell_angle_beta 90.00
_cell_angle_gamma 120.00
_space_group_name_H-M_alt 'R -3 m'
_space_group_IT_number 166
_space_group_name_Hall '-R 3 2"'
loop_
_atom_site_label
_atom_site_type_symbol
_atom_site_fract_x
_atom_site_fract_y
_atom_site_fract_z
Pu1 Pu 0.0000 0.0000 0.1113
Pu2 Pu 0.0000 0.0000 0.2855
Al1 Al 0.0000 0.0000 0.0000
Al2 Al 0.0000 0.0000 0.5000
Cu1 Cu 0.0000 0.0000 0.4279
Au1 Au 0.0423 0.5211 0.2967
Au2 Au 0.0588 0.5294 0.8671
```


Entry from Alexandria via LeMat-Bulk: a relaxed Al2CuAuS4 crystal (PBE-GGA).

Output
size of the total moment	0.00	μB per formula unit
raw formation energy	-0.6785	eV per atom
volume	639.1	Å³ per cell

Structure (CIF):
```
data_Al2CuAuS4
_cell_length_a 7.584
_cell_length_b 7.588
_cell_length_c 11.106
_cell_angle_alpha 90.00
_cell_angle_beta 90.00
_cell_angle_gamma 90.00
_space_group_name_H-M_alt 'F m m 2'
_space_group_IT_number 42
_space_group_name_Hall 'F 2 -2'
loop_
_atom_site_label
_atom_site_type_symbol
_atom_site_fract_x
_atom_site_fract_y
_atom_site_fract_z
Al1 Al 0.250 0.250 0.000
Cu1 Cu 0.000 0.000 0.250
Au1 Au 0.000 0.000 0.751
S1 S 0.000 0.233 0.384
S2 S 0.234 0.000 0.116
```


Entry from Alexandria via LeMat-Bulk: a relaxed AlCu2SbAu4 crystal (PBE-GGA).

Output
size of the total moment	0.00	μB per formula unit
raw formation energy	-0.0849	eV per atom
volume	423.1	Å³ per cell

Structure (CIF):
```
data_AlCu2SbAu4
_cell_length_a 4.4261
_cell_length_b 4.4261
_cell_length_c 24.9367
_cell_angle_alpha 90.00
_cell_angle_beta 90.00
_cell_angle_gamma 120.00
_space_group_name_H-M_alt 'R -3 m'
_space_group_IT_number 166
_space_group_name_Hall '-R 3 2"'
loop_
_atom_site_label
_atom_site_type_symbol
_atom_site_fract_x
_atom_site_fract_y
_atom_site_fract_z
Al1 Al 0.0000 0.0000 0.0000
Cu1 Cu 0.0000 0.0000 0.2598
Sb1 Sb 0.0000 0.0000 0.5000
Au1 Au 0.0000 0.0000 0.1082
Au2 Au 0.0000 0.0000 0.3700
```


| no. | energy (eV/atom) |
| --- | --- |
| 1 | -4.207 |
| 2 | -4.515 |
| 3 | -6.552 |
| 4 | -4.776 |
| 5 | -6.195 |
| 6 | -5.220 |
| 7 | -5.313 |
| 8 | -6.552 |
| 9 | -4.696 |
| 10 | -5.897 |
| 11 | -4.600 |
| 12 | -3.731 |